(1)
# La2MgIn (PBE-GGA, optimized geometry)
data_La2MgIn
_chemical_formula_sum 'La4 Mg2 In2'
_cell_length_a 3.964
_cell_length_b 3.982
_cell_length_c 17.934
_cell_angle_alpha 90.00
_cell_angle_beta 90.00
_cell_angle_gamma 90.00
_space_group_name_H-M_alt 'I m m m'
_space_group_IT_number 71
_space_group_name_Hall '-I 2 2'
loop_
_atom_site_label
_atom_site_fract_x
_atom_site_fract_y
_atom_site_fract_z
La1 0.000 0.000 0.181
Mg1 0.000 0.000 0.500
In1 0.000 0.000 0.000
# M_tot	0.24	μB per atom

---

(2)
# LaMg3In2 (PBE-GGA, optimized geometry)
data_LaMg3In2
_chemical_formula_sum 'La4 Mg12 In8'
_cell_length_a 17.393
_cell_length_b 4.848
_cell_length_c 8.750
_cell_angle_alpha 90.00
_cell_angle_beta 120.19
_cell_angle_gamma 90.00
_space_group_name_H-M_alt 'C 1 2/m 1'
_space_group_IT_number 12
_space_group_name_Hall '-C 2y'
loop_
_atom_site_label
_atom_site_fract_x
_atom_site_fract_y
_atom_site_fract_z
La1 0.131 0.000 0.131
Mg1 0.000 0.000 0.337
Mg2 0.171 0.500 0.473
Mg3 0.171 0.500 0.869
In1 0.000 0.500 0.161
In2 0.197 0.000 0.697
# M_tot	0.00	μB per atom

---

(3)
# La2MgIn (PBE-GGA, optimized geometry)
data_La2MgIn
_chemical_formula_sum 'La2 Mg1 In1'
_cell_length_a 4.003
_cell_length_b 5.544
_cell_length_c 5.569
_cell_angle_alpha 90.00
_cell_angle_beta 90.02
_cell_angle_gamma 90.00
_space_group_name_H-M_alt 'P 1 m 1'
_space_group_IT_number 6
_space_group_name_Hall 'P -2y'
loop_
_atom_site_label
_atom_site_fract_x
_atom_site_fract_y
_atom_site_fract_z
La1 0.000 0.000 0.000
La2 0.000 0.500 0.474
Mg1 0.499 0.000 0.505
In1 0.501 0.500 0.967
# M_tot	0.00	μB per atom

---

(4)
# LaMgIn (PBE-GGA, optimized geometry)
data_LaMgIn
_chemical_formula_sum 'La2 Mg2 In2'
_cell_length_a 4.877
_cell_length_b 5.202
_cell_length_c 7.059
_cell_angle_alpha 90.00
_cell_angle_beta 110.20
_cell_angle_gamma 90.00
_space_group_name_H-M_alt 'P 1 m 1'
_space_group_IT_number 6
_space_group_name_Hall 'P -2y'
loop_
_atom_site_label
_atom_site_fract_x
_atom_site_fract_y
_atom_site_fract_z
La1 0.000 0.000 0.000
La2 0.189 0.500 0.376
Mg1 0.331 0.000 0.663
Mg2 0.488 0.500 0.974
In1 0.676 0.000 0.351
In2 0.853 0.500 0.704
# M_tot	0.00	μB per atom

---

(5)
# LaMgIn (PBE-GGA, optimized geometry)
data_LaMgIn
_chemical_formula_sum 'La1 Mg1 In1'
_cell_length_a 5.0774
_cell_length_b 5.0774
_cell_length_c 3.8402
_cell_angle_alpha 90.00
_cell_angle_beta 90.00
_cell_angle_gamma 120.00
_space_group_name_H-M_alt 'P -6 m 2'
_space_group_IT_number 187
_space_group_name_Hall 'P -6 2'
loop_
_atom_site_label
_atom_site_fract_x
_atom_site_fract_y
_atom_site_fract_z
La1 0.0000 0.0000 0.0000
Mg1 0.6667 0.3333 0.5000
In1 0.3333 0.6667 0.5000
# M_tot	0.00	μB per atom

---

(6)
# La9MgIn2 (PBE-GGA, optimized geometry)
data_La9MgIn2
_chemical_formula_sum 'La9 Mg1 In2'
_cell_length_a 5.090
_cell_length_b 5.090
_cell_length_c 15.226
_cell_angle_alpha 90.00
_cell_angle_beta 90.00
_cell_angle_gamma 90.00
_space_group_name_H-M_alt 'P 4/m m m'
_space_group_IT_number 123
_space_group_name_Hall '-P 4 2'
loop_
_atom_site_label
_atom_site_fract_x
_atom_site_fract_y
_atom_site_fract_z
La1 0.000 0.000 0.000
La2 0.000 0.000 0.333
La3 0.000 0.500 0.169
La4 0.000 0.500 0.500
Mg1 0.500 0.500 0.000
In1 0.500 0.500 0.333
# M_tot	0.00	μB per atom

---

(7)
# La7Mg2In2 (PBE-GGA, optimized geometry)
data_La7Mg2In2
_chemical_formula_sum 'La14 Mg4 In4'
_cell_length_a 11.806
_cell_length_b 7.909
_cell_length_c 8.323
_cell_angle_alpha 90.00
_cell_angle_beta 90.09
_cell_angle_gamma 90.00
_space_group_name_H-M_alt 'C 1 2/m 1'
_space_group_IT_number 12
_space_group_name_Hall '-C 2y'
loop_
_atom_site_label
_atom_site_fract_x
_atom_site_fract_y
_atom_site_fract_z
La1 0.000 0.000 0.000
La2 0.000 0.500 0.253
La3 0.250 0.250 0.307
Mg1 0.217 0.500 0.000
In1 0.000 0.177 0.500
# M_tot	0.00	μB per atom

---

(8)
# La2MgIn12 (PBE-GGA, optimized geometry)
data_La2MgIn12
_chemical_formula_sum 'La4 Mg2 In24'
_cell_length_a 7.028
_cell_length_b 7.028
_cell_length_c 17.040
_cell_angle_alpha 90.00
_cell_angle_beta 90.00
_cell_angle_gamma 90.00
_space_group_name_H-M_alt 'P 4/n b m'
_space_group_IT_number 125
loop_
_space_group_symop_operation_xyz
'x,y,z'
'-x,-y,-z'
'-y+1/2,x,z'
'y+1/2,-x,-z'
'-x+1/2,-y+1/2,z'
'x+1/2,y+1/2,-z'
'y,-x+1/2,z'
'-y,x+1/2,-z'
'x,-y+1/2,-z'
'-x,y+1/2,z'
'-y+1/2,-x+1/2,-z'
'y+1/2,x+1/2,z'
'-x+1/2,y,-z'
'x+1/2,-y,z'
'y,x,-z'
'-y,-x,z'
loop_
_atom_site_label
_atom_site_fract_x
_atom_site_fract_y
_atom_site_fract_z
La1 0.250 0.750 0.241
Mg1 0.250 0.750 0.000
In1 0.001 0.501 0.091
In2 0.087 0.587 0.571
In3 0.250 0.250 0.186
In4 0.250 0.250 0.347
# M_tot	0.00	μB per atom

---

(9)
# LaMgIn (PBE-GGA, optimized geometry)
data_LaMgIn
_chemical_formula_sum 'La2 Mg2 In2'
_cell_length_a 3.325
_cell_length_b 5.919
_cell_length_c 8.679
_cell_angle_alpha 90.00
_cell_angle_beta 101.01
_cell_angle_gamma 90.00
_space_group_name_H-M_alt 'P 1 21 1'
_space_group_IT_number 4
_space_group_name_Hall 'P 2yb'
loop_
_atom_site_label
_atom_site_fract_x
_atom_site_fract_y
_atom_site_fract_z
La1 0.067 0.000 0.136
Mg1 0.251 0.682 0.501
In1 0.390 0.999 0.780
# M_tot	0.00	μB per atom

---

(10)
# LaMg3In2 (PBE-GGA, optimized geometry)
data_LaMg3In2
_chemical_formula_sum 'La4 Mg12 In8'
_cell_length_a 17.554
_cell_length_b 4.879
_cell_length_c 7.766
_cell_angle_alpha 90.00
_cell_angle_beta 111.29
_cell_angle_gamma 90.00
_space_group_name_H-M_alt 'C 1 2/m 1'
_space_group_IT_number 12
_space_group_name_Hall '-C 2y'
loop_
_atom_site_label
_atom_site_fract_x
_atom_site_fract_y
_atom_site_fract_z
La1 0.121 0.000 0.187
Mg1 0.068 0.000 0.695
Mg2 0.130 0.500 0.505
Mg3 0.196 0.500 0.918
In1 0.018 0.500 0.830
In2 0.234 0.000 0.675
# M_tot	0.00	μB per atom

---

(11)
# LaMgIn (PBE-GGA, optimized geometry)
data_LaMgIn
_chemical_formula_sum 'La4 Mg4 In4'
_cell_length_a 12.783
_cell_length_b 5.031
_cell_length_c 5.306
_cell_angle_alpha 90.00
_cell_angle_beta 90.12
_cell_angle_gamma 90.00
_space_group_name_H-M_alt 'C 1 2/m 1'
_space_group_IT_number 12
_space_group_name_Hall '-C 2y'
loop_
_atom_site_label
_atom_site_fract_x
_atom_site_fract_y
_atom_site_fract_z
La1 0.097 0.000 0.251
Mg1 0.097 0.500 0.750
In1 0.240 0.000 0.751
# M_tot	0.00	μB per atom

---

(12)
# La3MgIn12 (PBE-GGA, optimized geometry)
data_La3MgIn12
_chemical_formula_sum 'La3 Mg1 In12'
_cell_length_a 4.767
_cell_length_b 4.767
_cell_length_c 18.825
_cell_angle_alpha 90.00
_cell_angle_beta 90.00
_cell_angle_gamma 90.00
_space_group_name_H-M_alt 'P 4/m m m'
_space_group_IT_number 123
_space_group_name_Hall '-P 4 2'
loop_
_atom_site_label
_atom_site_fract_x
_atom_site_fract_y
_atom_site_fract_z
La1 0.000 0.000 0.000
La2 0.000 0.000 0.257
Mg1 0.000 0.000 0.500
In1 0.000 0.500 0.129
In2 0.000 0.500 0.386
In3 0.500 0.500 0.000
In4 0.500 0.500 0.248
In5 0.500 0.500 0.500
# M_tot	0.00	μB per atom

---

(13)
# La4Mg2In (PBE-GGA, optimized geometry)
data_La4Mg2In
_chemical_formula_sum 'La12 Mg6 In3'
_cell_length_a 5.5105
_cell_length_b 5.5105
_cell_length_c 26.4805
_cell_angle_alpha 90.00
_cell_angle_beta 90.00
_cell_angle_gamma 120.00
_space_group_name_H-M_alt 'R -3 m'
_space_group_IT_number 166
_space_group_name_Hall '-R 3 2"'
loop_
_atom_site_label
_atom_site_fract_x
_atom_site_fract_y
_atom_site_fract_z
La1 0.0000 0.0000 0.1163
La2 0.0000 0.0000 0.3691
Mg1 0.0000 0.0000 0.2434
In1 0.0000 0.0000 0.5000
# M_tot	0.00	μB per atom

---

(14)
# La4MgIn3 (PBE-GGA, optimized geometry)
data_La4MgIn3
_chemical_formula_sum 'La8 Mg2 In6'
_cell_length_a 5.557
_cell_length_b 5.557
_cell_length_c 16.043
_cell_angle_alpha 90.00
_cell_angle_beta 90.00
_cell_angle_gamma 90.00
_space_group_name_H-M_alt 'I 4/m m m'
_space_group_IT_number 139
_space_group_name_Hall '-I 4 2'
loop_
_atom_site_label
_atom_site_fract_x
_atom_site_fract_y
_atom_site_fract_z
La1 0.000 0.500 0.125
Mg1 0.000 0.000 0.000
In1 0.000 0.000 0.247
In2 0.000 0.000 0.500
# M_tot	0.00	μB per atom

---

(15)
# LaMgIn (PBE-GGA, optimized geometry)
data_LaMgIn
_chemical_formula_sum 'La2 Mg2 In2'
_cell_length_a 5.065
_cell_length_b 6.254
_cell_length_c 6.594
_cell_angle_alpha 63.38
_cell_angle_beta 67.51
_cell_angle_gamma 72.32
_space_group_name_H-M_alt 'P 1'
_space_group_IT_number 1
_space_group_name_Hall 'P 1'
loop_
_atom_site_label
_atom_site_fract_x
_atom_site_fract_y
_atom_site_fract_z
La1 0.000 0.000 0.000
La2 0.307 0.494 0.806
Mg1 0.703 0.977 0.617
Mg2 0.994 0.458 0.438
In1 0.331 0.006 0.351
In2 0.609 0.556 0.142
# M_tot	0.00	μB per atom

---

(16)
# LaMgIn3 (PBE-GGA, optimized geometry)
data_LaMgIn3
_chemical_formula_sum 'La2 Mg2 In6'
_cell_length_a 7.1034
_cell_length_b 7.1034
_cell_length_c 6.3464
_cell_angle_alpha 90.00
_cell_angle_beta 90.00
_cell_angle_gamma 120.00
_space_group_name_H-M_alt 'P 63/m m c'
_space_group_IT_number 194
_space_group_name_Hall '-P 6c 2c'
loop_
_atom_site_label
_atom_site_fract_x
_atom_site_fract_y
_atom_site_fract_z
La1 0.3333 0.6667 0.2500
Mg1 0.0000 0.0000 0.0000
In1 0.1960 0.3920 0.7500
# M_tot	0.00	μB per atom

---

(17)
# La2MgIn4 (PBE-GGA, optimized geometry)
data_La2MgIn4
_chemical_formula_sum 'La4 Mg2 In8'
_cell_length_a 4.522
_cell_length_b 21.111
_cell_length_c 5.048
_cell_angle_alpha 90.00
_cell_angle_beta 90.00
_cell_angle_gamma 90.00
_space_group_name_H-M_alt 'C m m m'
_space_group_IT_number 65
_space_group_name_Hall '-C 2 2'
loop_
_atom_site_label
_atom_site_fract_x
_atom_site_fract_y
_atom_site_fract_z
La1 0.000 0.181 0.000
Mg1 0.000 0.500 0.500
In1 0.000 0.297 0.500
In2 0.000 0.431 0.000
# M_tot	0.00	μB per atom

---

(18)
# LaMg4In2 (PBE-GGA, optimized geometry)
data_LaMg4In2
_chemical_formula_sum 'La2 Mg8 In4'
_cell_length_a 8.728
_cell_length_b 8.728
_cell_length_c 4.712
_cell_angle_alpha 90.00
_cell_angle_beta 90.00
_cell_angle_gamma 90.00
_space_group_name_H-M_alt 'P 42/m n m'
_space_group_IT_number 136
_space_group_name_Hall '-P 4n 2n'
loop_
_atom_site_label
_atom_site_fract_x
_atom_site_fract_y
_atom_site_fract_z
La1 0.000 0.000 0.000
Mg1 0.096 0.344 0.500
In1 0.207 0.793 0.500
# M_tot	0.00	μB per atom

---

(19)
# LaMg2In3 (PBE-GGA, optimized geometry)
data_LaMg2In3
_chemical_formula_sum 'La2 Mg4 In6'
_cell_length_a 5.1542
_cell_length_b 5.1542
_cell_length_c 13.6193
_cell_angle_alpha 90.00
_cell_angle_beta 90.00
_cell_angle_gamma 120.00
_space_group_name_H-M_alt 'P 63/m m c'
_space_group_IT_number 194
_space_group_name_Hall '-P 6c 2c'
loop_
_atom_site_label
_atom_site_fract_x
_atom_site_fract_y
_atom_site_fract_z
La1 0.0000 0.0000 0.2500
Mg1 0.3333 0.6667 0.1063
In1 0.0000 0.0000 0.0000
In2 0.3333 0.6667 0.6335
# M_tot	0.00	μB per atom

---

(20)
# LaMgIn (PBE-GGA, optimized geometry)
data_LaMgIn
_chemical_formula_sum 'La2 Mg2 In2'
_cell_length_a 3.766
_cell_length_b 5.127
_cell_length_c 8.901
_cell_angle_alpha 90.00
_cell_angle_beta 90.00
_cell_angle_gamma 90.00
_space_group_name_H-M_alt 'P m m m'
_space_group_IT_number 47
_space_group_name_Hall '-P 2 2'
loop_
_atom_site_label
_atom_site_fract_x
_atom_site_fract_y
_atom_site_fract_z
La1 0.000 0.000 0.000
La2 0.000 0.500 0.500
Mg1 0.500 0.000 0.334
In1 0.500 0.500 0.169
# M_tot	0.00	μB per atom

---

| no. | final energy (eV per atom) | E_form (eV per atom) |
| --- | --- | --- |
| 1 | -3.38 | 0.17 |
| 2 | -2.79 | -0.26 |
| 3 | -3.87 | -0.32 |
| 4 | -3.36 | -0.27 |
| 5 | -3.46 | -0.38 |
| 6 | -4.49 | -0.21 |
| 7 | -3.86 | 0.06 |
| 8 | -3.13 | -0.18 |
| 9 | -3.35 | -0.27 |
| 10 | -2.81 | -0.28 |
| 11 | -3.36 | -0.27 |
| 12 | -3.45 | -0.37 |
| 13 | -3.74 | -0.08 |
| 14 | -4.11 | -0.42 |
| 15 | -3.34 | -0.25 |
| 16 | -3.19 | -0.24 |
| 17 | -3.27 | -0.07 |
| 18 | -2.63 | -0.23 |
| 19 | -3.01 | -0.28 |
| 20 | -3.41 | -0.32 |